# 1
A relaxed YAgIr2 crystal, computed with PBE-GGA.

For the energy, the calculation gives -6.53 eV per atom. As for the relative energy among the computed polymorphs: 1.79 eV per formula unit. Its space group is No. 166. The value obtained for the density of states at the Fermi level is 1.05 states/eV/atom. As for the formation energy: 226 meV/atom.

The structure in POSCAR format:
```
YAgIr2
1.0
-6.356 4.342 -5.083
-5.732 2.003 -6.945
-7.766 1.661 -4.693
Ir Y Ag
2 1 1
direct
0.999 0.999 0.999
0.501 0.501 0.501
0.250 0.250 0.250
0.750 0.750 0.750
```

***

# 2
A relaxed CaBr crystal, computed with PBE-GGA.

For the energy, the calculation gives -2.96 eV per atom. Its uncorrected formation energy is -1.13 eV/atom. Its space group is No. 141. The value obtained for the density of states at the Fermi level is 0.64 states/eV/atom.

The structure in POSCAR format:
```
CaBr
1.0
-3.944 -4.205 5.701
1.959 -5.232 5.876
1.333 6.997 -3.873
Ca Br
2 2
direct
0.750 0.250 0.500
0.500 0.500 0.000
0.000 0.000 0.000
0.250 0.750 0.500
```

***

# 3
A relaxed NaAlTe crystal, computed with PBE-GGA.

For the energy, the calculation gives -3.25 eV per atom. As for the relative energy among the computed polymorphs: 0.00 eV per formula unit. Its uncorrected formation energy is -0.52 eV/atom. Its space group is No. 36. The value obtained for the density of states at the Fermi level is 0.08 states/eV/atom.

The structure in POSCAR format:
```
NaAlTe
1.0
-3.377 2.340 0.616
-8.328 -13.644 6.187
1.561 1.075 4.471
Te Al Na
4 4 4
direct
0.000 0.861 0.770
0.500 0.361 0.770
0.000 0.139 0.270
0.500 0.639 0.270
0.000 0.469 0.749
0.500 0.969 0.749
0.500 0.031 0.249
0.000 0.531 0.249
0.000 0.329 0.267
0.500 0.171 0.767
0.000 0.671 0.767
0.500 0.829 0.267
```

***

# 4
A relaxed Pu2PdSe crystal, computed with PBE-GGA.

For the energy, the calculation gives -10.16 eV per atom. As for the relative energy among the computed polymorphs: 0.00 eV per formula unit. Its uncorrected formation energy is -0.82 eV/atom. Its space group is No. 123. The value obtained for the density of states at the Fermi level is 4.20 states/eV/atom.

The structure in POSCAR format:
```
Pu2PdSe
1.0
3.539 0.000 0.000
0.000 3.539 0.000
0.000 0.000 7.171
Pu Se Pd
2 1 1
direct
0.000 0.000 0.249
0.000 0.000 0.751
0.500 0.500 0.500
0.500 0.500 0.000
```

***

# 5
A relaxed ZrSc2UP4 crystal, computed with PBE-GGA.

For the energy, the calculation gives -8.10 eV per atom. Its space group is No. 10. The value obtained for the density of states at the Fermi level is 0.87 states/eV/atom. As for the formation energy: -1337 meV/atom.

The structure in POSCAR format:
```
ZrSc2UP4
1.0
3.798 0.000 0.000
0.000 6.566 0.123
0.000 -2.287 6.154
P Zr Sc U
4 1 2 1
direct
0.000 0.757 0.258
0.000 0.243 0.742
0.500 0.752 0.747
0.500 0.248 0.253
0.000 0.000 0.000
0.500 0.000 0.500
0.000 0.500 0.500
0.500 0.500 0.000
```

***

# 6
A relaxed CrNi2S crystal, computed with PBE-GGA.

For the energy, the calculation gives -6.05 eV per atom. As for the relative energy among the computed polymorphs: 0.55 eV per formula unit. Its uncorrected formation energy is 0.28 eV/atom. Its space group is No. 225. The value obtained for the density of states at the Fermi level is 1.27 states/eV/atom.

The structure in POSCAR format:
```
CrNi2S
1.0
-0.691 -0.350 4.034
1.427 2.857 2.584
-2.607 2.567 1.867
Ni S Cr
2 1 1
direct
0.250 0.250 0.250
0.750 0.750 0.750
0.000 0.000 0.000
0.500 0.500 0.500
```

***

# 7
A relaxed LiHfCd2 crystal, computed with PBE-GGA.

For the energy, the calculation gives -3.49 eV per atom. As for the relative energy among the computed polymorphs: 0.19 eV per formula unit. Its space group is No. 123. The value obtained for the density of states at the Fermi level is 0.49 states/eV/atom. As for the formation energy: -61 meV/atom.

The structure in POSCAR format:
```
LiHfCd2
1.0
-2.281 -2.089 -1.160
-0.414 -2.064 4.530
-3.590 3.273 1.163
Li Cd Hf
1 2 1
direct
0.500 0.000 0.000
0.000 0.000 0.500
0.000 0.500 0.000
0.500 0.500 0.500
```

***

# 8
A relaxed CePb2 crystal, computed with PBE-GGA.

For the energy, the calculation gives -4.57 eV per atom. Its space group is No. 227. The value obtained for the density of states at the Fermi level is 2.76 states/eV/atom. As for the formation energy: -121 meV/atom.

The structure in POSCAR format:
```
CePb2
1.0
6.456 0.000 0.000
3.228 5.591 0.000
3.228 1.864 5.272
Pb Ce
4 2
direct
0.625 0.625 0.625
0.625 0.625 0.125
0.625 0.125 0.625
0.125 0.625 0.625
0.250 0.250 0.250
0.000 0.000 0.000
```